Fe2SeF2 | GGA+U | relaxed

Computed properties:
Final energy ... -5.104 eV/atom
Crystal system ... tetragonal
Total magnetic moment ... 8.0 μB/f.u.
Density of states at the Fermi level ... 0.0 states/eV per cell

The structure in POSCAR format:
```
Fe2SeF2
1.0
3.5882 0.0000 0.0000
0.0000 3.5882 0.0000
0.0000 0.0000 10.9949
Fe Se F
4 2 4
direct
0.0000 0.0000 0.1348
0.0000 0.0000 0.8652
0.5000 0.5000 0.3652
0.5000 0.5000 0.6348
0.0000 0.0000 0.5000
0.5000 0.5000 0.0000
0.0000 0.5000 0.2500
0.0000 0.5000 0.7500
0.5000 0.0000 0.2500
0.5000 0.0000 0.7500
```